No. 1
Compound: Ba2Sn3SbAu4
Source: Alexandria via LeMat-Bulk
Functional: PBE
Structure: optimized geometry

abc: 4.9282 4.9282 11.2269
angles: 90.00 90.00 90.00
Closest atoms and distances in Å follow each position.
Sites, in units of the cell vectors:
Au 0.0000 0.5000 0.3687  3 Sn 2.76-2.87, 2 Sb 2.87
Sb 0.5000 0.5000 0.5000  4 Au 2.87
Ba 0.5000 0.0000 0.2425  8 Au 3.67-3.76, 7 Sn 3.73-4.10, 2 Sb 3.80
Sn 0.0000 0.5000 0.1230  5 Au 2.76-2.82
Sn 0.5000 0.0000 0.8770  5 Au 2.76-2.82
Au 0.5000 0.0000 0.6313  3 Sn 2.76-2.87, 2 Sb 2.87
Ba 0.0000 0.5000 0.7575  8 Au 3.67-3.76, 7 Sn 3.73-4.10, 2 Sb 3.80
Sn 0.0000 0.0000 0.5000  4 Au 2.87
Au 0.5000 0.5000 0.0000  4 Sn 2.82
Au 0.0000 0.0000 0.0000  4 Sn 2.82

Values from the calculation:
spin magnetization = 0.00 μB per formula unit
E_form (uncorrected) = -0.60 eV per atom
final energy = -3.9093 eV/atom
calculated density = 9.381 g/cm3
space-group type = P-4m2, No. 115



No. 2
Compound: SrCdSe2O6
Source: Alexandria via LeMat-Bulk
Functional: PBE
Structure: optimized geometry

abc: 5.5721 5.5721 6.7808
angles: 65.74 65.74 60.00
Closest atoms and distances in Å follow each position.
Sites, in units of the cell vectors:
Se 0.7928 0.7928 0.6215  3 O 1.74
Cd 0.5000 0.5000 0.5000  6 O 2.39
O 0.7181 0.0503 0.7444  1 Se 1.74
Sr 0.0000 0.0000 0.0000  6 O 2.64
O 0.4871 0.7181 0.7444  1 Se 1.74
O 0.2819 0.9497 0.2556  1 Se 1.74
O 0.0503 0.4871 0.7444  1 Se 1.74
Se 0.2072 0.2072 0.3785  3 O 1.74
O 0.5129 0.2819 0.2556  1 Se 1.74
O 0.9497 0.5129 0.2556  1 Se 1.74

Values from the calculation:
spin magnetization = 0.00 μB per formula unit
E_form (uncorrected) = -1.40 eV per atom
final energy = -5.3346 eV/atom
calculated density = 4.697 g/cm3
space-group type = R-3, No. 148



No. 3
Compound: SrAg2Hg
Source: Alexandria via LeMat-Bulk
Functional: PBE
Structure: optimized geometry

abc: 3.7263 3.7255 7.0864
angles: 90.00 90.00 90.00
Closest atoms and distances in Å follow each position.
Sites, in units of the cell vectors:
Sr 0.5000 0.5000 0.7547  4 Hg 3.36, 6 Ag 3.36-3.68, 4 Sr 3.73
Hg 0.0000 0.0000 0.4606  5 Ag 2.92-3.08
Ag 0.5000 0.5000 0.2356  4 Ag 2.95, 4 Hg 3.08
Ag 0.0000 0.0000 0.0491  1 Hg 2.92, 4 Ag 2.95

Values from the calculation:
formation enthalpy at 0 K = -0.1958 eV per atom
spin magnetization = 0.00 μB per formula unit
final energy = -2.1173 eV/atom
calculated density = 8.506 g/cm3
space-group type = P4mm, No. 99



No. 4
Compound: SrBr
Source: Alexandria via LeMat-Bulk
Functional: PBE
Structure: optimized geometry

abc: 12.9740 12.9740 4.2507
angles: 90.00 90.00 120.00
Closest atoms and distances in Å follow each position.
Sites, in units of the cell vectors:
Br 0.9551 0.6141 0.2500  4 Sr 3.19-3.26
Br 0.0449 0.3859 0.7500  4 Sr 3.19-3.26
Br 0.3859 0.3410 0.2500  4 Sr 3.19-3.26
Sr 0.4863 0.1605 0.2500  4 Br 3.19-3.26
Sr 0.5137 0.8395 0.7500  4 Br 3.19-3.26
Br 0.6590 0.0449 0.2500  4 Sr 3.19-3.26
Sr 0.8395 0.3257 0.2500  4 Br 3.19-3.26
Sr 0.1605 0.6743 0.7500  4 Br 3.19-3.26
Sr 0.6743 0.5137 0.2500  4 Br 3.19-3.26
Br 0.6141 0.6590 0.7500  4 Sr 3.19-3.26
Br 0.3410 0.9551 0.7500  4 Sr 3.19-3.26
Sr 0.3257 0.4863 0.7500  4 Br 3.19-3.26

Values from the calculation:
spin magnetization = 0.00 μB per formula unit
E_form (uncorrected) = -1.38 eV per atom
final energy = -3.0596 eV/atom
calculated density = 2.694 g/cm3
space-group type = P6_3/m, No. 176



No. 5
Compound: InSn6Pb
Source: Alexandria via LeMat-Bulk
Functional: PBE
Structure: optimized geometry

abc: 5.7970 6.6663 6.6663
angles: 119.24 90.00 90.00
Closest atoms and distances in Å follow each position.
Sites, in units of the cell vectors:
Sn 0.0000 0.0802 0.3963  6 Sn 3.21-3.53, 2 In 3.31-3.36, 2 Pb 3.44
Sn 0.0000 0.6037 0.9198  6 Sn 3.21-3.53, 2 In 3.31-3.36, 2 Pb 3.44
In 0.0000 0.0990 0.9010  12 Sn 3.31-3.53
Sn 0.5000 0.9236 0.0764  8 Sn 3.23-3.45, 2 Pb 3.39, 2 In 3.53
Pb 0.5000 0.3911 0.6089  10 Sn 3.26-3.44
Sn 0.5000 0.8869 0.5749  5 Sn 3.11-3.45, 2 Pb 3.26-3.42, 2 In 3.48
Sn 0.0000 0.5900 0.4100  8 Sn 3.31-3.38, 2 In 3.37, 2 Pb 3.69
Sn 0.5000 0.4251 0.1131  5 Sn 3.11-3.45, 2 Pb 3.26-3.42, 2 In 3.48

Values from the calculation:
formation enthalpy at 0 K = 0.0647 eV per atom
spin magnetization = 0.00 μB per formula unit
final energy = -3.7433 eV/atom
calculated density = 7.640 g/cm3
space-group type = Amm2, No. 38



No. 6
Compound: PbIN2F
Source: Alexandria via LeMat-Bulk
Functional: PBE
Structure: optimized geometry

abc: 5.2158 5.2158 4.6481
angles: 90.00 90.00 90.00
Closest atoms and distances in Å follow each position.
Sites, in units of the cell vectors:
Pb 0.5000 0.5000 0.5000  8 N 3.49, 4 I 3.69
F 0.0000 0.0000 0.0000  2 I 2.32
N 0.5000 0.0000 0.0000  2 F 2.61
I 0.0000 0.0000 0.5000  2 F 2.32
N 0.0000 0.5000 0.0000  2 F 2.61

Values from the calculation:
spin magnetization = 4.50 μB per formula unit
E_form (uncorrected) = 1.68 eV per atom
energy relative to the lowest polymorph listed for this composition = 4.113 eV/f.u.
final energy = -3.0794 eV/atom
calculated density = 5.005 g/cm3
space-group type = P4/mmm, No. 123